ZnMoPb2, relaxed, DFT PBE; total moment = 0.68 Bohr magnetons per cell; energy relative to the elements = 0.607 eV per atom; symmetry = No. 123; uncorrected energy = -4.27 eV per atom; calculated density = 10.2 g/cm³
1.0
3.1760 0.0000 0.0000
0.0000 3.1760 0.0000
0.0000 0.0000 9.2538
Zn Mo Pb
1 1 2
Direct
0.0000 0.0000 0.0000
0.0000 0.0000 0.5000
0.5000 0.5000 0.2740
0.5000 0.5000 0.7260